VASP calculation (PBE) on crystalline MgGa6Pt3 at its relaxed geometry.

* formation enthalpy at 0 K: -0.51 eV per atom

Unit cell a=4.0560 b=8.0489 c=10.6865 alpha=98.67 beta=90.00 gamma=90.00
Last column: nearest neighbours and their distance in Å.
Fractional positions:
Ga: 0.7500 0.7526 0.3166  3 Pt 2.57-2.63, 4 Ga 2.61-2.83
Ga: 0.7500 0.4185 0.5697  4 Pt 2.62-2.89, 3 Ga 2.83
Ga: 0.2500 0.5815 0.4303  4 Pt 2.62-2.89, 3 Ga 2.83
Ga: 0.7500 0.6738 0.7837  4 Pt 2.57-2.85, 1 Mg 2.67, 3 Ga 2.77-2.83
Ga: 0.7500 0.8154 0.0719  5 Pt 2.59-2.76, 1 Ga 2.74, 2 Mg 2.84
Ga: 0.2500 0.9310 0.5841  2 Pt 2.53, 1 Ga 2.61
Ga: 0.2500 0.2474 0.6834  3 Pt 2.57-2.63, 4 Ga 2.61-2.83
Ga: 0.7500 0.4552 0.0824  4 Pt 2.53-2.70, 2 Ga 2.77
Ga: 0.2500 0.1846 0.9281  5 Pt 2.59-2.76, 1 Ga 2.74, 2 Mg 2.84
Ga: 0.2500 0.3262 0.2163  4 Pt 2.57-2.85, 1 Mg 2.67, 3 Ga 2.77-2.83
Ga: 0.2500 0.5448 0.9176  4 Pt 2.53-2.70, 2 Ga 2.77
Ga: 0.7500 0.0690 0.4159  2 Pt 2.53, 1 Ga 2.61
Pt: 0.7500 0.1385 0.0696  4 Ga 2.53-2.60
Pt: 0.2500 0.2588 0.4440  7 Ga 2.53-2.66
Pt: 0.2500 0.8615 0.9304  4 Ga 2.53-2.60
Pt: 0.7500 0.7412 0.5560  7 Ga 2.53-2.66
Pt: 0.2500 0.6422 0.1705  9 Ga 2.61-2.89, 1 Mg 2.82
Pt: 0.7500 0.3578 0.8295  9 Ga 2.61-2.89, 1 Mg 2.82
Mg: 0.2500 0.9957 0.2215  5 Ga 2.67-2.90, 4 Pt 2.82-2.94
Mg: 0.7500 0.0043 0.7785  5 Ga 2.67-2.90, 4 Pt 2.82-2.94

***

VASP calculation (PBE) on crystalline La4AgPd2 at its relaxed geometry.

* formation enthalpy at 0 K: -0.42 eV per atom

Unit cell a=4.7953 b=4.7953 c=10.8549 alpha=77.24 beta=77.24 gamma=60.00
Last column: nearest neighbours and their distance in Å.
Fractional positions:
La: 0.8836 0.8836 0.3491  3 Pd 3.09, 3 Ag 3.19
La: 0.2993 0.2993 0.1020  4 Pd 3.03-3.36
La: 0.1164 0.1164 0.6509  3 Pd 3.09, 3 Ag 3.19
La: 0.7007 0.7007 0.8980  4 Pd 3.03-3.36
Ag: 0.5000 0.5000 0.5000  2 Pd 2.95, 6 La 3.19
Pd: 0.5938 0.5938 0.2186  1 Ag 2.95, 6 La 3.03-3.09
Pd: 0.4062 0.4062 0.7814  1 Ag 2.95, 6 La 3.03-3.09

***

VASP calculation (PBE) on crystalline Pr5TlGa2 at its relaxed geometry.

* formation enthalpy at 0 K: -0.41 eV per atom

Unit cell a=8.0149 b=8.0149 c=9.4456 alpha=115.10 beta=115.10 gamma=90.00
Last column: nearest neighbours and their distance in Å.
Fractional positions:
Pr: 0.4740 0.3158 0.2899  3 Ga 3.22-3.24, 2 Tl 3.37
Pr: 0.6842 0.1842 0.7101  3 Ga 3.22-3.24, 2 Tl 3.37
Pr: 0.1842 0.0260 0.7101  3 Ga 3.22-3.24, 2 Tl 3.37
Pr: 0.0000 0.0000 0.0000  4 Ga 3.20
Pr: 0.9740 0.4740 0.2899  3 Ga 3.22-3.24, 2 Tl 3.37
Pr: 0.8158 0.9740 0.2899  3 Ga 3.22-3.24, 2 Tl 3.37
Pr: 0.0260 0.5260 0.7101  3 Ga 3.22-3.24, 2 Tl 3.37
Pr: 0.5000 0.5000 0.0000  4 Ga 3.20
Pr: 0.5260 0.6842 0.7101  3 Ga 3.22-3.24, 2 Tl 3.37
Pr: 0.3158 0.8158 0.2899  3 Ga 3.22-3.24, 2 Tl 3.37
Ga: 0.1183 0.3817 0.0000  1 Ga 2.68
Ga: 0.8817 0.6183 0.0000  1 Ga 2.68
Ga: 0.3817 0.8817 0.0000  1 Ga 2.68
Ga: 0.6183 0.1183 0.0000  1 Ga 2.68
Tl: 0.2500 0.2500 0.5000  8 Pr 3.37
Tl: 0.7500 0.7500 0.5000  8 Pr 3.37

***

VASP calculation (PBE) on crystalline TaP at its relaxed geometry.

* formation enthalpy at 0 K: -0.09 eV per atom

Unit cell a=3.4182 b=3.4182 c=7.7088 alpha=90.00 beta=90.00 gamma=120.00
Last column: nearest neighbours and their distance in Å.
Fractional positions:
Ta: 0.6667 0.3333 0.1978  4 P 2.42-2.44
Ta: 0.3333 0.6667 0.6978  4 P 2.42-2.44
P: 0.3333 0.6667 0.3842  4 Ta 2.42-2.44
P: 0.6667 0.3333 0.8842  4 Ta 2.42-2.44

***

VASP calculation (PBE) on crystalline KSbOsO6 at its relaxed geometry.

* energy relative to the elements, uncorrected: -1.296 eV/atom

Unit cell a=7.2575 b=7.2675 c=7.2916 alpha=119.89 beta=119.85 gamma=90.00
Last column: nearest neighbours and their distance in Å.
Fractional positions:
O: 0.8174 0.6700 0.2523  1 Os 1.93, 1 Sb 2.02
O: 0.1826 0.9176 0.7477  1 Os 1.93, 1 Sb 2.02
O: 0.1826 0.3300 0.7477  1 Os 1.93, 1 Sb 2.02
O: 0.4349 0.6700 0.2523  1 Os 1.93, 1 Sb 2.02
O: 0.8174 0.0824 0.2523  1 Os 1.93, 1 Sb 2.02
O: 0.1706 0.9206 0.3413  2 Sb 1.99
O: 0.5651 0.9176 0.7477  1 Os 1.93, 1 Sb 2.02
O: 0.8294 0.0794 0.6587  2 Sb 1.99
O: 0.4349 0.0824 0.2523  1 Os 1.93, 1 Sb 2.02
O: 0.5494 0.2994 0.0988  2 Os 1.89
O: 0.5651 0.3300 0.7477  1 Os 1.93, 1 Sb 2.02
O: 0.4506 0.7006 0.9012  2 Os 1.89
Os: 0.5000 0.0000 0.0000  6 O 1.89-1.93
Os: 0.5000 0.5000 0.0000  6 O 1.89-1.93
K: 0.1169 0.3669 0.2337  5 O 2.98-3.10
K: 0.8831 0.6331 0.7663  5 O 2.98-3.10
Sb: 0.0000 0.0000 0.5000  6 O 1.99-2.02
Sb: 0.5000 0.0000 0.5000  6 O 1.99-2.02

***

VASP calculation (PBE) on crystalline La2SmHgN at its relaxed geometry.

* energy relative to the elements, uncorrected: -0.788 eV/atom

Unit cell a=4.9609 b=5.1090 c=5.1090 alpha=90.00 beta=90.00 gamma=90.00
Last column: nearest neighbours and their distance in Å.
Fractional positions:
La: 0.0000 0.0000 0.5000  2 N 2.55
La: 0.0000 0.5000 0.0000  2 N 2.55
Hg: 0.5000 0.5000 0.5000  8 La 3.56, 4 Sm 3.61
Sm: 0.5000 0.0000 0.0000  2 N 2.48
N: 0.0000 0.0000 0.0000  2 Sm 2.48, 4 La 2.55

***

VASP calculation (PBE) on crystalline Pm3As2Rh6 at its relaxed geometry.

* formation enthalpy at 0 K: -0.70 eV per atom

Unit cell a=8.0959 b=8.0959 c=8.0959 alpha=109.47 beta=109.47 gamma=109.47
Last column: nearest neighbours and their distance in Å.
Fractional positions:
Pm: 0.0000 0.2799 0.2799  4 Rh 2.89
Pm: 0.7201 0.7201 0.0000  4 Rh 2.89
Pm: 0.0000 0.7201 0.7201  4 Rh 2.89
Pm: 0.7201 0.0000 0.7201  4 Rh 2.89
Pm: 0.2799 0.0000 0.2799  4 Rh 2.89
Pm: 0.2799 0.2799 0.0000  4 Rh 2.89
Rh: 0.6535 0.3069 0.6535  2 As 2.66, 6 Rh 2.72-2.87, 2 Pm 2.89
Rh: 0.6535 0.0000 0.3465  2 As 2.66, 6 Rh 2.72-2.87, 2 Pm 2.89
Rh: 0.3465 0.3465 0.6931  2 As 2.66, 6 Rh 2.72-2.87, 2 Pm 2.89
Rh: 0.6535 0.3465 0.0000  2 As 2.66, 6 Rh 2.72-2.87, 2 Pm 2.89
Rh: 0.3465 0.0000 0.6535  2 As 2.66, 6 Rh 2.72-2.87, 2 Pm 2.89
Rh: 0.6535 0.6535 0.3069  2 As 2.66, 6 Rh 2.72-2.87, 2 Pm 2.89
Rh: 0.0000 0.6535 0.3465  2 As 2.66, 6 Rh 2.72-2.87, 2 Pm 2.89
Rh: 0.3069 0.6535 0.6535  2 As 2.66, 6 Rh 2.72-2.87, 2 Pm 2.89
Rh: 0.6931 0.3465 0.3465  2 As 2.66, 6 Rh 2.72-2.87, 2 Pm 2.89
Rh: 0.3465 0.6931 0.3465  2 As 2.66, 6 Rh 2.72-2.87, 2 Pm 2.89
Rh: 0.3465 0.6535 0.0000  2 As 2.66, 6 Rh 2.72-2.87, 2 Pm 2.89
Rh: 0.0000 0.3465 0.6535  2 As 2.66, 6 Rh 2.72-2.87, 2 Pm 2.89
As: 0.5000 0.0000 0.0000  6 Rh 2.66
As: 0.0000 0.5000 0.0000  6 Rh 2.66
As: 0.5000 0.5000 0.5000  6 Rh 2.66
As: 0.0000 0.0000 0.5000  6 Rh 2.66

***

VASP calculation (PBE) on crystalline Ac8PmPr2 at its relaxed geometry.

* formation enthalpy at 0 K: 0.37 eV per atom

Unit cell a=6.3106 b=9.2027 c=9.2027 alpha=87.15 beta=79.81 gamma=79.81
Last column: nearest neighbours and their distance in Å.
Fractional positions:
Ac: 0.8855 0.2677 0.2677  1 Pm 3.46, 2 Pr 3.47-3.76, 4 Ac 3.62-3.78
Ac: 0.1145 0.7323 0.7323  1 Pm 3.46, 2 Pr 3.47-3.76, 4 Ac 3.62-3.78
Ac: 0.1997 0.3450 0.8578  1 Pr 3.64, 3 Ac 3.67-4.03, 1 Pm 3.71
Ac: 0.1997 0.8578 0.3450  1 Pr 3.64, 3 Ac 3.67-4.03, 1 Pm 3.71
Ac: 0.2927 0.4171 0.4171  6 Ac 3.62-4.03, 1 Pr 3.70
Ac: 0.7073 0.5829 0.5829  6 Ac 3.62-4.03, 1 Pr 3.70
Ac: 0.8003 0.6550 0.1422  1 Pr 3.64, 3 Ac 3.67-4.03, 1 Pm 3.71
Ac: 0.8003 0.1422 0.6550  1 Pr 3.64, 3 Ac 3.67-4.03, 1 Pm 3.71
Pr: 0.4816 0.1315 0.1315  1 Pm 3.31, 1 Pr 3.46, 4 Ac 3.47-3.70
Pr: 0.5184 0.8685 0.8685  1 Pm 3.31, 1 Pr 3.46, 4 Ac 3.47-3.70
Pm: 0.0000 0.0000 0.0000  2 Pr 3.31, 2 Ac 3.46

***

VASP calculation (PBE) on crystalline MgFe4Cu at its relaxed geometry.

* formation enthalpy at 0 K: 0.18 eV per atom

Unit cell a=4.7599 b=4.7599 c=4.7599 alpha=60.00 beta=60.00 gamma=60.00
Last column: nearest neighbours and their distance in Å.
Fractional positions:
Fe: 0.3747 0.3747 0.8759  6 Fe 2.37-2.39
Fe: 0.3747 0.8759 0.3747  6 Fe 2.37-2.39
Fe: 0.3747 0.3747 0.3747  6 Fe 2.37-2.39
Fe: 0.8759 0.3747 0.3747  6 Fe 2.37-2.39
Cu: 0.0000 0.0000 0.0000  12 Fe 2.79, 4 Mg 2.91
Mg: 0.7500 0.7500 0.7500  12 Fe 2.79, 4 Cu 2.91

***

VASP calculation (PBE) on crystalline Ce2PmSi6 at its relaxed geometry.

* energy relative to the elements, uncorrected: -0.642 eV/atom

Unit cell a=4.1328 b=7.0660 c=7.0660 alpha=120.00 beta=90.00 gamma=90.00
Last column: nearest neighbours and their distance in Å.
Fractional positions:
Si: 0.5000 0.0000 0.6658  3 Si 2.34-2.36
Si: 0.5000 0.6658 0.0000  3 Si 2.34-2.36
Si: 0.5000 0.0000 0.3342  3 Si 2.34-2.36
Si: 0.5000 0.3342 0.0000  3 Si 2.34-2.36
Si: 0.5000 0.3342 0.3342  3 Si 2.34-2.36
Si: 0.5000 0.6658 0.6658  3 Si 2.34-2.36
Ce: 0.0000 0.6667 0.3333  12 Si 3.13
Ce: 0.0000 0.3333 0.6667  12 Si 3.13
Pm: 0.0000 0.0000 0.0000  12 Si 3.14

***

VASP calculation (PBE) on crystalline LiMg2Zr at its relaxed geometry.

* formation enthalpy at 0 K: 0.16 eV per atom

Unit cell a=5.2855 b=5.2855 c=5.9409 alpha=83.85 beta=83.85 gamma=31.77
Last column: nearest neighbours and their distance in Å.
Fractional positions:
Mg: 0.0014 0.0014 0.9903  4 Mg 2.89-3.20, 3 Li 3.06-3.12, 3 Zr 3.10-3.18
Mg: 0.4986 0.4986 0.5097  4 Mg 2.89-3.20, 3 Li 3.06-3.12, 3 Zr 3.10-3.18
Li: 0.7500 0.7500 0.7500  2 Li 2.89, 6 Mg 3.06-3.12
Zr: 0.2500 0.2500 0.2500  2 Zr 2.89, 6 Mg 3.10-3.18

***

VASP calculation (PBE) on crystalline Sc12AgSn6 at its relaxed geometry.

* formation enthalpy at 0 K: -0.23 eV per atom

Unit cell a=8.2158 b=8.2158 c=8.2158 alpha=100.57 beta=100.57 gamma=100.57
Last column: nearest neighbours and their distance in Å.
Fractional positions:
Sc: 0.3209 0.0492 0.9637  1 Ag 2.67, 2 Sn 2.91-2.94
Sc: 0.5543 0.1980 0.4172  4 Sn 2.90-3.04
Sc: 0.6791 0.9508 0.0363  1 Ag 2.67, 2 Sn 2.91-2.94
Sc: 0.9637 0.3209 0.0492  1 Ag 2.67, 2 Sn 2.91-2.94
Sc: 0.4457 0.8020 0.5828  4 Sn 2.90-3.04
Sc: 0.5828 0.4457 0.8020  4 Sn 2.90-3.04
Sc: 0.1980 0.4172 0.5543  4 Sn 2.90-3.04
Sc: 0.0363 0.6791 0.9508  1 Ag 2.67, 2 Sn 2.91-2.94
Sc: 0.8020 0.5828 0.4457  4 Sn 2.90-3.04
Sc: 0.9508 0.0363 0.6791  1 Ag 2.67, 2 Sn 2.91-2.94
Sc: 0.0492 0.9637 0.3209  1 Ag 2.67, 2 Sn 2.91-2.94
Sc: 0.4172 0.5543 0.1980  4 Sn 2.90-3.04
Sn: 0.6299 0.3156 0.1215  7 Sc 2.90-3.07
Sn: 0.6844 0.8785 0.3701  7 Sc 2.90-3.07
Sn: 0.8785 0.3701 0.6844  7 Sc 2.90-3.07
Sn: 0.3156 0.1215 0.6299  7 Sc 2.90-3.07
Sn: 0.3701 0.6844 0.8785  7 Sc 2.90-3.07
Sn: 0.1215 0.6299 0.3156  7 Sc 2.90-3.07
Ag: 0.0000 0.0000 0.0000  6 Sc 2.67

***

VASP calculation (PBE) on crystalline Y3GeSe at its relaxed geometry.

* energy relative to the elements, uncorrected: -1.018 eV/atom

Unit cell a=7.2413 b=8.8437 c=8.8437 alpha=77.31 beta=90.98 gamma=90.98
Last column: nearest neighbours and their distance in Å.
Fractional positions:
Y: 0.9300 0.0086 0.2290  2 Ge 2.84-2.91, 2 Se 2.95-2.99
Y: 0.5700 0.7710 0.9914  2 Ge 2.84-2.91, 2 Se 2.95-2.99
Y: 0.0797 0.6617 0.5482  2 Se 2.89-2.99, 2 Ge 3.02-3.13
Y: 0.9426 0.3515 0.8728  2 Ge 2.82-2.93, 2 Se 2.87
Y: 0.5574 0.1272 0.6485  2 Ge 2.82-2.93, 2 Se 2.87
Y: 0.0700 0.9914 0.7710  2 Ge 2.84-2.91, 2 Se 2.95-2.99
Y: 0.0574 0.6485 0.1272  2 Ge 2.82-2.93, 2 Se 2.87
Y: 0.9203 0.3383 0.4518  2 Se 2.89-2.99, 2 Ge 3.02-3.13
Y: 0.4203 0.4518 0.3383  2 Se 2.89-2.99, 2 Ge 3.02-3.13
Y: 0.5797 0.5482 0.6617  2 Se 2.89-2.99, 2 Ge 3.02-3.13
Y: 0.4300 0.2290 0.0086  2 Ge 2.84-2.91, 2 Se 2.95-2.99
Y: 0.4426 0.8728 0.3515  2 Ge 2.82-2.93, 2 Se 2.87
Se: 0.8867 0.6790 0.8273  6 Y 2.87-2.99
Se: 0.3867 0.8273 0.6790  6 Y 2.87-2.99
Se: 0.6133 0.1727 0.3210  6 Y 2.87-2.99
Se: 0.1133 0.3210 0.1727  6 Y 2.87-2.99
Ge: 0.7500 0.0651 0.9349  6 Y 2.82-2.91
Ge: 0.2500 0.9349 0.0651  6 Y 2.82-2.91
Ge: 0.2500 0.3336 0.6664  8 Y 2.93-3.22
Ge: 0.7500 0.6664 0.3336  8 Y 2.93-3.22

***

VASP calculation (PBE) on crystalline TiInAu at its relaxed geometry.

* formation enthalpy at 0 K: -0.19 eV per atom

Unit cell a=3.0261 b=4.6681 c=4.6681 alpha=120.00 beta=90.00 gamma=90.00
Last column: nearest neighbours and their distance in Å.
Fractional positions:
In: 0.1663 0.0000 0.0000  3 Au 2.70
Au: 0.1673 0.3333 0.6667  3 In 2.70
Ti: 0.6664 0.6667 0.3333  2 Ti 3.03, 6 Au 3.09, 6 In 3.09